<P>
Crystalline Tb12Y6Mg at its relaxed geometry, computed with PBE.

D(E_F) = 1.97 states/eV/atom

a = 12.2433 Å, b = 12.2433 Å, c = 14.2474 Å
α = 90.00°, β = 90.00°, γ = 120.00°
Space group R-3 (No. 148, hexagonal axes)
Asymmetric unit:
Tb 0.0412 0.1819 0.3092 [18 per cell]
Tb 0.0683 0.8694 0.9071 [18 per cell]
Y 0.0286 0.4362 0.2067 [18 per cell]
Mg 0.0000 0.0000 0.5000 [3 per cell]

***

<Q>
Crystalline Tb12Y6Mg at its relaxed geometry, computed with PBE.

D(E_F) = 1.64 states/eV/atom

a = 12.9854 Å, b = 12.9854 Å, c = 12.8149 Å
α = 90.00°, β = 90.00°, γ = 120.00°
Space group R-3m (No. 166, hexagonal axes)
Asymmetric unit:
Tb 0.0000 0.2613 0.0000 [18 per cell]
Tb 0.0534 0.5267 0.1141 [18 per cell]
Y 0.0906 0.1812 0.7717 [18 per cell]
Mg 0.0000 0.0000 0.0000 [3 per cell]

***

Quick one: least stable of them? <P>

***

<P>
Crystalline Tb2YMg2 at its relaxed geometry, computed with PBE.

D(E_F) = 1.13 states/eV/atom

a = 3.748 Å, b = 27.937 Å, c = 5.434 Å
α = 90.00°, β = 90.00°, γ = 90.00°
Space group Cmcm (No. 63)
Asymmetric unit:
Tb 0.000 0.044 0.250 [4 per cell]
Tb 0.000 0.237 0.250 [4 per cell]
Y 0.000 0.151 0.750 [4 per cell]
Mg 0.000 0.360 0.750 [4 per cell]
Mg 0.000 0.446 0.250 [4 per cell]

***

<Q>
Crystalline Tb2YMg2 at its relaxed geometry, computed with PBE.

D(E_F) = 1.17 states/eV/atom

a = 8.986 Å, b = 8.986 Å, c = 3.588 Å
α = 90.00°, β = 90.00°, γ = 90.00°
Space group P4/mbm (No. 127)
Asymmetric unit:
Tb 0.130 0.370 0.000 [4 per cell]
Y 0.000 0.000 0.000 [2 per cell]
Mg 0.169 0.669 0.500 [4 per cell]

***

Quick one: least stable of them? <Q>

***

<P>
Crystalline TbYMg4 at its relaxed geometry, computed with PBE.

D(E_F) = 1.04 states/eV/atom

a = 13.607 Å, b = 3.473 Å, c = 6.853 Å
α = 90.00°, β = 104.57°, γ = 90.00°
Space group C2/m (No. 12)
Asymmetric unit:
Tb 0.000 0.000 0.000 [2 per cell]
Y 0.000 0.000 0.500 [2 per cell]
Mg 0.175 0.500 0.338 [4 per cell]
Mg 0.176 0.500 0.838 [4 per cell]

***

<Q>
Crystalline TbYMg4 at its relaxed geometry, computed with PBE.

D(E_F) = 1.24 states/eV/atom

a = 8.547 Å, b = 8.547 Å, c = 8.547 Å
α = 90.00°, β = 90.00°, γ = 90.00°
Space group F-43m (No. 216)
Asymmetric unit:
Tb 0.000 0.000 0.000 [4 per cell]
Y 0.250 0.250 0.750 [4 per cell]
Mg 0.125 0.125 0.375 [16 per cell]

***

Quick one: least stable of them? <P>

***

<P>
Crystalline Tb2Y8Mg at its relaxed geometry, computed with PBE.

D(E_F) = 1.54 states/eV/atom

a = 17.654 Å, b = 6.681 Å, c = 6.416 Å
α = 90.00°, β = 110.29°, γ = 90.00°
Space group C2/m (No. 12)
Asymmetric unit:
Tb 0.229 0.000 0.116 [4 per cell]
Y 0.074 0.000 0.247 [4 per cell]
Y 0.096 0.254 0.718 [8 per cell]
Y 0.202 0.500 0.317 [4 per cell]
Mg 0.000 0.500 0.000 [2 per cell]

***

<Q>
Crystalline Tb2Y8Mg at its relaxed geometry, computed with PBE.

D(E_F) = 1.70 states/eV/atom

a = 18.656 Å, b = 6.893 Å, c = 5.691 Å
α = 90.00°, β = 92.21°, γ = 90.00°
Space group C2/m (No. 12)
Asymmetric unit:
Tb 0.219 0.000 0.256 [4 per cell]
Y 0.050 0.000 0.233 [4 per cell]
Y 0.128 0.236 0.741 [8 per cell]
Y 0.180 0.500 0.234 [4 per cell]
Mg 0.000 0.500 0.000 [2 per cell]

***

Quick one: least stable of them? <P>

***

<P>
Crystalline TbYMg at its relaxed geometry, computed with PBE.

D(E_F) = 1.35 states/eV/atom

a = 3.729 Å, b = 3.729 Å, c = 12.583 Å
α = 90.00°, β = 90.00°, γ = 90.00°
Space group I4mm (No. 107)
Asymmetric unit:
Tb 0.000 0.000 0.000 [2 per cell]
Y 0.000 0.000 0.687 [2 per cell]
Mg 0.000 0.000 0.343 [2 per cell]

***

<Q>
Crystalline TbYMg at its relaxed geometry, computed with PBE.

D(E_F) = 1.34 states/eV/atom

a = 5.4526 Å, b = 5.4526 Å, c = 3.4062 Å
α = 90.00°, β = 90.00°, γ = 120.00°
Space group P3m1 (No. 156)
Asymmetric unit:
Tb 0.0000 0.0000 0.0000 [1 per cell]
Y 0.6667 0.3333 0.4284 [1 per cell]
Mg 0.3333 0.6667 0.7191 [1 per cell]

***

<R>
Crystalline TbYMg at its relaxed geometry, computed with PBE.

D(E_F) = 1.04 states/eV/atom

a = 3.716 Å, b = 5.464 Å, c = 8.797 Å
α = 90.00°, β = 102.20°, γ = 90.00°
Space group P2_1/m (No. 11)
Asymmetric unit:
Tb 0.227 0.250 0.455 [2 per cell]
Y 0.090 0.750 0.181 [2 per cell]
Mg 0.434 0.750 0.866 [2 per cell]

***

<S>
Crystalline TbYMg at its relaxed geometry, computed with PBE.

D(E_F) = 1.24 states/eV/atom

a = 3.471 Å, b = 5.393 Å, c = 9.467 Å
α = 90.00°, β = 90.05°, γ = 90.00°
Space group P2_1 (No. 4)
Asymmetric unit:
Tb 0.002 0.000 0.084 [2 per cell]
Y 0.500 0.000 0.742 [2 per cell]
Mg 0.001 0.501 0.580 [2 per cell]

***

Quick one: least stable of them? <Q>

***

<P>
Crystalline TbYMg3 at its relaxed geometry, computed with PBE.

D(E_F) = 1.12 states/eV/atom

a = 20.276 Å, b = 10.501 Å, c = 5.202 Å
α = 90.00°, β = 104.86°, γ = 90.00°
Space group C2/c (No. 15)
Asymmetric unit:
Tb 0.199 0.122 0.449 [8 per cell]
Y 0.000 0.127 0.250 [4 per cell]
Y 0.000 0.372 0.750 [4 per cell]
Mg 0.099 0.124 0.848 [8 per cell]
Mg 0.111 0.384 0.361 [8 per cell]
Mg 0.194 0.357 0.945 [8 per cell]

***

<Q>
Crystalline TbYMg3 at its relaxed geometry, computed with PBE.

D(E_F) = 1.13 states/eV/atom

a = 6.330 Å, b = 15.301 Å, c = 5.802 Å
α = 90.00°, β = 90.00°, γ = 90.00°
Space group Cmcm (No. 63)
Asymmetric unit:
Tb 0.000 0.097 0.250 [4 per cell]
Y 0.000 0.307 0.750 [4 per cell]
Mg 0.000 0.500 0.000 [4 per cell]
Mg 0.247 0.364 0.250 [8 per cell]

***

Quick one: least stable of them? <Q>

***

<P>
Crystalline Tb3Y6Mg at its relaxed geometry, computed with PBE.

D(E_F) = 1.49 states/eV/atom

a = 11.152 Å, b = 5.032 Å, c = 11.221 Å
α = 90.00°, β = 90.42°, γ = 90.00°
Space group P2_1/m (No. 11)
Asymmetric unit:
Tb 0.051 0.250 0.400 [2 per cell]
Tb 0.152 0.750 0.204 [2 per cell]
Tb 0.252 0.250 0.004 [2 per cell]
Y 0.051 0.750 0.898 [2 per cell]
Y 0.153 0.250 0.700 [2 per cell]
Y 0.255 0.750 0.501 [2 per cell]
Y 0.350 0.750 0.803 [2 per cell]
Y 0.353 0.250 0.306 [2 per cell]
Y 0.451 0.750 0.102 [2 per cell]
Mg 0.451 0.250 0.600 [2 per cell]

***

<Q>
Crystalline Tb3Y6Mg at its relaxed geometry, computed with PBE.

D(E_F) = 1.30 states/eV/atom

a = 9.377 Å, b = 14.913 Å, c = 9.075 Å
α = 90.00°, β = 90.00°, γ = 90.00°
Space group Cmc2_1 (No. 36)
Asymmetric unit:
Tb 0.000 0.036 0.000 [4 per cell]
Tb 0.176 0.358 0.483 [8 per cell]
Y 0.000 0.207 0.269 [4 per cell]
Y 0.000 0.437 0.137 [4 per cell]
Y 0.176 0.155 0.654 [8 per cell]
Y 0.219 0.430 0.820 [8 per cell]
Mg 0.000 0.262 0.916 [4 per cell]

***

Quick one: least stable of them? <Q>

***

<P>
Crystalline TbY3Mg at its relaxed geometry, computed with PBE.

D(E_F) = 1.38 states/eV/atom

a = 3.508 Å, b = 6.948 Å, c = 12.924 Å
α = 90.00°, β = 97.79°, γ = 90.00°
Space group P2_1/m (No. 11)
Asymmetric unit:
Tb 0.001 0.250 0.003 [2 per cell]
Y 0.206 0.750 0.411 [2 per cell]
Y 0.400 0.008 0.800 [4 per cell]
Mg 0.185 0.250 0.371 [2 per cell]

***

<Q>
Crystalline TbY3Mg at its relaxed geometry, computed with PBE.

D(E_F) = 1.48 states/eV/atom

a = 12.886 Å, b = 3.686 Å, c = 12.902 Å
α = 90.00°, β = 93.09°, γ = 90.00°
Space group C2/m (No. 12)
Asymmetric unit:
Tb 0.235 0.000 0.260 [4 per cell]
Y 0.035 0.000 0.688 [4 per cell]
Y 0.135 0.500 0.477 [4 per cell]
Y 0.147 0.000 0.941 [4 per cell]
Mg 0.062 0.500 0.126 [4 per cell]

***

Quick one: least stable of them? <P>